# PmTcP2Pd GGA-PBE relaxed
# - E_tot: -7.08 eV/atom
# - Calculated formation energy: -413 kJ/mol of formula units
# - Mass density: 8.13 Mg/m³
data_PmTcP2Pd
_symmetry_space_group_name_H-M 'P 1'
_symmetry_Int_Tables_number 1
_cell_length_a 4.0429
_cell_length_b 4.0429
_cell_length_c 10.2781
_cell_angle_alpha 90.00
_cell_angle_beta 90.00
_cell_angle_gamma 90.00
loop_
_symmetry_equiv_pos_as_xyz
'x,y,z'
loop_
_atom_site_label
_atom_site_type_symbol
_atom_site_fract_x
_atom_site_fract_y
_atom_site_fract_z
Pm1 Pm 0.0000 0.0000 0.0000
Pm2 Pm 0.5000 0.5000 0.5000
Tc1 Tc 0.0000 0.5000 0.2500
Tc2 Tc 0.5000 0.0000 0.7500
P1 P 0.0000 0.0000 0.3803
P2 P 0.0000 0.0000 0.6197
P3 P 0.5000 0.5000 0.1197
P4 P 0.5000 0.5000 0.8803
Pd1 Pd 0.0000 0.5000 0.7500
Pd2 Pd 0.5000 0.0000 0.2500